Record 1
Compound: FeRe2Ag
Source: Alexandria
Functional: PBE
Structure: optimized geometry

Calculated formation energy   0.44 eV per atom
Symmetry   C2/m
Distance to the lowest polymorph of the same formula   0.61 eV per formula unit

Cell and atoms, written as POSCAR:
```
FeRe2Ag
1.0
-1.346 -4.186 2.108
0.524 -4.844 0.217
3.239 -0.496 3.376
Ag Fe Re
1 1 2
direct
0.750 0.750 0.750
0.250 0.250 0.250
0.986 0.986 0.015
0.514 0.514 0.485
```


Record 2
Compound: SrPmSb
Source: Alexandria
Functional: PBE
Structure: optimized geometry

Symmetry   P3m1
Formation energy (no corrections)   -48.86 kJ per mole of atoms
Distance to the lowest polymorph of the same formula   0.25 eV per formula unit

Cell and atoms, written as POSCAR:
```
SrPmSb
1.0
4.860 0.000 0.000
0.000 5.188 0.000
0.000 -2.594 4.493
Sb Sr Pm
1 1 1
direct
0.248 0.333 0.667
0.631 0.667 0.333
0.121 0.000 0.000
```


Record 3
Compound: BaSc2Be
Source: Alexandria
Functional: PBE
Structure: optimized geometry

Calculated formation energy   0.26 eV per atom
Symmetry   P4mm

Cell and atoms, written as POSCAR:
```
BaSc2Be
1.0
3.585 0.000 0.000
0.000 3.580 0.010
0.000 3.555 8.396
Sc Be Ba
2 1 1
direct
0.000 0.052 0.948
0.500 0.325 0.175
0.500 0.667 0.833
0.000 0.456 0.544
```


Record 4
Compound: Ca2YPb
Source: Alexandria
Functional: PBE
Structure: optimized geometry

Calculated formation energy   -0.23 eV per atom
Symmetry   P4mm

Cell and atoms, written as POSCAR:
```
Ca2YPb
1.0
-1.239 3.260 -1.143
-2.187 0.198 2.941
7.418 4.645 5.203
Pb Y Ca
1 1 2
direct
0.000 0.000 0.507
0.500 0.500 0.711
0.000 0.000 0.990
0.500 0.500 0.293
```


Record 5
Compound: CePuBiN2
Source: Alexandria
Functional: PBE
Structure: optimized geometry

Symmetry   Cmcm
Formation energy (no corrections)   -110.26 kJ per mole of atoms

Cell and atoms, written as POSCAR:
```
CePuBiN2
1.0
5.560 0.000 0.000
0.000 5.569 0.000
0.000 -2.784 6.760
Ce Pu Bi N
2 2 2 4
direct
0.250 0.585 0.170
0.750 0.415 0.830
0.250 0.922 0.844
0.750 0.078 0.156
0.750 0.748 0.497
0.250 0.252 0.503
0.500 0.243 0.000
0.000 0.757 0.000
0.500 0.757 0.000
0.000 0.243 0.000
```


Record 6
Compound: KCrAsBr2
Source: Alexandria
Functional: PBE
Structure: optimized geometry

Symmetry   P4/mmm
Formation energy (no corrections)   -55.32 kJ per mole of atoms
Distance to the lowest polymorph of the same formula   0.00 eV per formula unit

Cell and atoms, written as POSCAR:
```
KCrAsBr2
1.0
5.457 0.000 0.000
0.000 5.457 0.000
0.000 0.000 4.763
Cr As K Br
1 1 1 2
direct
0.000 0.000 0.000
0.000 0.000 0.500
0.500 0.500 0.500
0.000 0.500 0.000
0.500 0.000 0.000
```


Record 7
Compound: Pm6GeP2S3
Source: Alexandria
Functional: PBE
Structure: optimized geometry

Symmetry   C2/m
Formation energy (no corrections)   -167.07 kJ per mole of atoms

Cell and atoms, written as POSCAR:
```
Pm6GeP2S3
1.0
4.123 0.000 0.000
0.000 8.220 0.298
-2.061 -2.369 8.655
Pm Ge P S
6 1 2 3
direct
0.333 0.912 0.667
0.669 0.579 0.337
0.667 0.088 0.333
0.001 0.251 0.003
0.999 0.749 0.997
0.331 0.421 0.663
0.500 0.000 0.000
0.833 0.665 0.665
0.167 0.335 0.335
0.500 0.500 0.000
0.833 0.168 0.666
0.167 0.832 0.334
```


Record 8
Compound: Sc2ZnIr2
Source: Alexandria
Functional: PBE
Structure: optimized geometry

Calculated formation energy   -0.67 eV per atom
Symmetry   P4/mbm

Cell and atoms, written as POSCAR:
```
Sc2ZnIr2
1.0
7.489 0.000 0.000
0.000 7.489 0.000
0.000 0.000 3.182
Sc Zn Ir
4 2 4
direct
0.156 0.656 0.500
0.656 0.844 0.500
0.844 0.344 0.500
0.344 0.156 0.500
0.000 0.000 0.000
0.500 0.500 0.000
0.356 0.856 0.000
0.856 0.644 0.000
0.644 0.144 0.000
0.144 0.356 0.000
```


Record 9
Compound: Ag4AsP
Source: Alexandria
Functional: PBE
Structure: optimized geometry

Calculated formation energy   0.50 eV per atom
Symmetry   F-43m

Cell and atoms, written as POSCAR:
```
Ag4AsP
1.0
0.805 0.058 5.405
-2.395 3.828 3.079
-4.069 -1.366 3.384
Ag As P
4 1 1
direct
0.625 0.625 0.125
0.625 0.125 0.625
0.625 0.625 0.625
0.125 0.625 0.625
0.250 0.250 0.250
0.000 0.000 0.000
```


Record 10
Compound: Tm2Si4Ir3Pd
Source: Alexandria
Functional: PBE
Structure: optimized geometry

Symmetry   P-4m2
Formation energy (no corrections)   -95.71 kJ per mole of atoms

Cell and atoms, written as POSCAR:
```
Tm2Si4Ir3Pd
1.0
-2.709 1.486 -2.677
-2.275 -3.369 0.432
-5.020 4.351 7.496
Tm Si Ir Pd
2 4 3 1
direct
0.500 0.000 0.242
0.000 0.500 0.758
0.500 0.500 0.000
0.000 0.000 0.000
0.500 0.000 0.637
0.000 0.500 0.363
0.000 0.000 0.500
0.500 0.000 0.871
0.000 0.500 0.129
0.500 0.500 0.500
```


Record 11
Compound: Np2RuN
Source: Alexandria
Functional: PBE
Structure: optimized geometry

Symmetry   P4/mmm
Formation energy (no corrections)   -15.76 kJ per mole of atoms

Cell and atoms, written as POSCAR:
```
Np2RuN
1.0
-1.286 0.175 2.822
-2.828 -0.113 -1.281
0.064 -6.624 0.441
Np Ru N
2 1 1
direct
0.000 0.000 0.709
0.000 0.000 0.291
0.500 0.500 0.000
0.500 0.500 0.500
```


Record 12
Compound: TaOsSe2N
Source: Alexandria
Functional: PBE
Structure: optimized geometry

Symmetry   P4/mmm
Formation energy (no corrections)   71.97 kJ per mole of atoms
Distance to the lowest polymorph of the same formula   0.00 eV per formula unit

Cell and atoms, written as POSCAR:
```
TaOsSe2N
1.0
5.051 0.000 0.000
0.000 5.051 0.000
0.000 0.000 3.641
N Os Se Ta
1 1 2 1
direct
0.000 0.000 0.500
0.000 0.000 0.000
0.000 0.500 0.000
0.500 0.000 0.000
0.500 0.500 0.500
```


Record 13
Compound: Ac7Cu3
Source: Alexandria
Functional: PBE
Structure: optimized geometry

Calculated formation energy   -0.08 eV per atom
Symmetry   P6_3mc

Cell and atoms, written as POSCAR:
```
Ac7Cu3
1.0
6.867 0.000 0.000
0.000 9.364 -5.406
0.000 0.000 10.812
Ac Cu
14 6
direct
0.127 0.667 0.333
0.627 0.333 0.667
0.941 0.874 0.748
0.941 0.874 0.126
0.941 0.252 0.126
0.441 0.126 0.252
0.441 0.126 0.874
0.441 0.748 0.874
0.126 0.459 0.918
0.126 0.459 0.541
0.126 0.082 0.541
0.626 0.541 0.082
0.626 0.541 0.459
0.626 0.918 0.459
0.861 0.189 0.377
0.861 0.189 0.811
0.861 0.623 0.811
0.361 0.811 0.623
0.361 0.811 0.189
0.361 0.377 0.189
```


Record 14
Compound: Ac3BeSi2
Source: Alexandria
Functional: PBE
Structure: optimized geometry

Symmetry   Pnma
Formation energy (no corrections)   -37.25 kJ per mole of atoms

Cell and atoms, written as POSCAR:
```
Ac3BeSi2
1.0
-0.007 3.792 1.979
-1.647 -5.808 11.121
12.390 -0.735 1.451
Ac Be Si
12 4 8
direct
0.250 0.384 0.076
0.750 0.616 0.924
0.750 0.884 0.424
0.250 0.116 0.576
0.250 0.707 0.192
0.750 0.293 0.808
0.750 0.207 0.308
0.250 0.793 0.692
0.250 0.443 0.388
0.750 0.557 0.612
0.750 0.943 0.112
0.250 0.057 0.888
0.250 0.136 0.137
0.750 0.864 0.863
0.750 0.636 0.363
0.250 0.364 0.637
0.250 0.684 0.448
0.750 0.316 0.552
0.750 0.184 0.052
0.250 0.816 0.948
0.250 0.025 0.291
0.750 0.975 0.709
0.750 0.525 0.209
0.250 0.475 0.791
```


Record 15
Compound: Zr2MoBr
Source: Alexandria
Functional: PBE
Structure: optimized geometry

Symmetry   P4/mmm
Formation energy (no corrections)   -23.74 kJ per mole of atoms
Distance to the lowest polymorph of the same formula   0.37 eV per formula unit

Cell and atoms, written as POSCAR:
```
Zr2MoBr
1.0
3.342 0.000 0.000
0.000 3.342 0.000
0.000 0.000 7.818
Mo Br Zr
1 1 2
direct
0.500 0.500 0.750
0.500 0.500 0.250
0.000 0.000 0.951
0.000 0.000 0.549
```


Record 16
Compound: RbPt3Se
Source: Alexandria
Functional: PBE
Structure: optimized geometry

Symmetry   Pm-3m
Formation energy (no corrections)   221.32 kJ per mole of atoms
Distance to the lowest polymorph of the same formula   9.97 eV per formula unit

Cell and atoms, written as POSCAR:
```
RbPt3Se
1.0
-2.482 3.886 2.192
-4.455 -2.018 -1.465
-0.249 -2.625 4.372
Se Rb Pt
1 1 3
direct
0.500 0.500 0.500
0.000 0.000 0.000
0.000 0.500 0.000
0.000 0.000 0.500
0.500 0.000 0.000
```


Record 17
Compound: Ba3Li2Hg3
Source: Alexandria
Functional: PBE
Structure: optimized geometry

Calculated formation energy   -0.38 eV per atom
Symmetry   Cmcm

Cell and atoms, written as POSCAR:
```
Ba3Li2Hg3
1.0
-4.346 1.017 2.208
-0.832 -2.045 -6.308
-1.073 -16.522 5.498
Ba Li Hg
6 4 6
direct
0.919 0.837 0.396
0.081 0.163 0.896
0.919 0.837 0.104
0.081 0.163 0.604
0.633 0.265 0.250
0.367 0.735 0.750
0.781 0.562 0.914
0.219 0.438 0.414
0.781 0.562 0.586
0.219 0.438 0.086
0.627 0.255 0.455
0.373 0.745 0.955
0.627 0.255 0.045
0.373 0.745 0.545
0.338 0.675 0.250
0.662 0.325 0.750
```


Record 18
Compound: SrCr4Sb
Source: Alexandria
Functional: PBE
Structure: optimized geometry

Symmetry   F-43m
Formation energy (no corrections)   67.62 kJ per mole of atoms

Cell and atoms, written as POSCAR:
```
SrCr4Sb
1.0
-2.053 0.254 4.747
-5.006 1.185 0.596
-3.350 -3.624 1.570
Sr Cr Sb
1 4 1
direct
0.000 0.000 0.000
0.864 0.379 0.379
0.379 0.379 0.864
0.379 0.864 0.379
0.379 0.379 0.379
0.750 0.750 0.750
```


Record 19
Compound: CoAg3S
Source: Alexandria
Functional: PBE
Structure: optimized geometry

Symmetry   Pm-3m
Formation energy (no corrections)   83.37 kJ per mole of atoms
Distance to the lowest polymorph of the same formula   0.00 eV per formula unit

Cell and atoms, written as POSCAR:
```
CoAg3S
1.0
-2.697 -3.297 -2.239
2.328 0.891 -4.117
3.235 -3.390 1.096
S Co Ag
1 1 3
direct
0.000 0.000 0.000
0.500 0.500 0.500
0.000 0.500 0.000
0.000 0.000 0.500
0.500 0.000 0.000
```


Record 20
Compound: TaVP2
Source: Alexandria
Functional: PBE
Structure: optimized geometry

Calculated formation energy   -0.47 eV per atom
Symmetry   R-3m
Distance to the lowest polymorph of the same formula   0.60 eV per formula unit

Cell and atoms, written as POSCAR:
```
TaVP2
1.0
3.574 0.000 0.000
1.787 3.096 0.000
1.787 1.032 5.557
P V Ta
2 1 1
direct
0.255 0.255 0.234
0.745 0.745 0.766
0.000 0.000 0.000
0.500 0.500 0.500
```